1.
! PmHoGaSn, relaxed, DFT PBE-GGA; values from VASP
&SYSTEM
  ibrav = 0, nat = 4, ntyp = 4
/
ATOMIC_SPECIES
Pm 145.00 Pm.upf
Ho 164.93 Ho.upf
Ga 69.72 Ga.upf
Sn 118.71 Sn.upf
CELL_PARAMETERS angstrom
0.000 3.728 3.728
3.728 0.000 3.728
3.728 3.728 0.000
ATOMIC_POSITIONS crystal
Pm 0.000 0.000 0.000
Ho 0.500 0.500 0.500
Ga 0.250 0.250 0.250
Sn 0.750 0.750 0.750
! Total magnetization ... 0.00 μB/f.u.
! Energy of formation ... -0.55 eV per atom

2.
! MnGePHCN, relaxed, DFT PBE-GGA; values from VASP
&SYSTEM
  ibrav = 0, nat = 6, ntyp = 6
/
ATOMIC_SPECIES
Mn 54.94 Mn.upf
Ge 72.64 Ge.upf
P 30.97 P.upf
H 1.01 H.upf
C 12.01 C.upf
N 14.01 N.upf
CELL_PARAMETERS angstrom
7.001 -1.322 0.000
7.001 1.322 0.000
-1.179 0.000 3.957
ATOMIC_POSITIONS crystal
Mn 0.000 0.000 0.000
Ge 0.260 0.260 0.290
P 0.360 0.360 0.889
H 0.132 0.132 0.168
C 0.521 0.521 0.377
N 0.526 0.526 0.681
! DFT total energy ... -38.75 eV per cell
! Total magnetization ... 0.44 μB/f.u.

3.
! Sb2MoRu, relaxed, DFT PBE-GGA; values from VASP
&SYSTEM
  ibrav = 0, nat = 4, ntyp = 3
/
ATOMIC_SPECIES
Sb 121.76 Sb.upf
Mo 95.94 Mo.upf
Ru 101.07 Ru.upf
CELL_PARAMETERS angstrom
0.000 3.285 3.285
3.285 0.000 3.285
3.285 3.285 0.000
ATOMIC_POSITIONS crystal
Sb 0.250 0.250 0.250
Sb 0.750 0.750 0.750
Mo 0.000 0.000 0.000
Ru 0.500 0.500 0.500
! Raw formation energy ... 12.4 kJ per mole of atoms
! Total magnetization ... 0.00 μB/f.u.